# GGA-PBE Al2VCr2, relaxed
# E_form   0.109 eV/atom
# ΔE to the lowest computed polymorph   0 meV/atom
data_Al2VCr2
_chemical_formula_sum 'Al4 V2 Cr4'
_cell_length_a 6.7626
_cell_length_b 6.7626
_cell_length_c 3.0804
_cell_angle_alpha 90.00
_cell_angle_beta 90.00
_cell_angle_gamma 90.00
_space_group_name_H-M_alt 'P 4/m b m'
_space_group_IT_number 127
_space_group_name_Hall '-P 4 2ab'
loop_
_atom_site_label
_atom_site_type_symbol
_atom_site_fract_x
_atom_site_fract_y
_atom_site_fract_z
Al1 Al 0.1322 0.3678 0.0000
V1 V 0.0000 0.0000 0.0000
Cr1 Cr 0.1673 0.6673 0.5000

# GGA-PBE Er3Tm5Th2, relaxed
# E_form   0.224 eV/atom
data_Er3Tm5Th2
_chemical_formula_sum 'Er12 Tm20 Th8'
_cell_length_a 10.5173
_cell_length_b 16.3941
_cell_length_c 9.0355
_cell_angle_alpha 90.00
_cell_angle_beta 125.59
_cell_angle_gamma 90.00
_space_group_name_H-M_alt 'C 1 2/c 1'
_space_group_IT_number 15
loop_
_space_group_symop_operation_xyz
'x,y,z'
'-x,-y,-z'
'-x,y,-z+1/2'
'x,-y,z+1/2'
'x+1/2,y+1/2,z'
'-x+1/2,-y+1/2,-z'
'-x+1/2,y+1/2,-z+1/2'
'x+1/2,-y+1/2,z+1/2'
loop_
_atom_site_label
_atom_site_type_symbol
_atom_site_fract_x
_atom_site_fract_y
_atom_site_fract_z
Er1 Er 0.0000 0.0303 0.2500
Er2 Er 0.1477 0.3745 0.5463
Tm1 Tm 0.0000 0.2234 0.2500
Tm2 Tm 0.0000 0.2809 0.7500
Tm3 Tm 0.0000 0.4739 0.7500
Tm4 Tm 0.2477 0.3739 0.2511
Th1 Th 0.1390 0.1253 0.0270